Entry 1:
Computed, not measured: BeTcPt2 after structural relaxation at the PBE-GGA level of DFT.

Cell: 3.7508 3.7508 17.2657 Å, 90.00 90.00 90.00°
Last column: nearest neighbours and their distance in Å.
Space group I-42d (No. 122)
Symmetry-distinct sites (fractional):
Be 0.0000 0.0000 0.0000 (multiplicity 4)  4 Pt 2.52, 4 Tc 2.65
Tc 0.0000 0.0000 0.5000 (multiplicity 4)  4 Pt 2.55, 4 Be 2.65
Pt 0.2415 0.2500 0.1250 (multiplicity 8)  2 Be 2.52, 2 Tc 2.55, 4 Pt 2.61-2.70

As for the energy of formation: 0.24 eV/atom. For the density of states at the Fermi level, the calculation gives 18.73 states/eV/cell. The volume comes out at 242.9 Å³/cell.

=====

Entry 2:
Computed, not measured: BaTiIn2Pb after structural relaxation at the PBE-GGA level of DFT.

Cell: 5.4324 5.4324 5.4242 Å, 90.00 90.00 90.00°
Last column: nearest neighbours and their distance in Å.
Space group P4/mmm (No. 123)
Symmetry-distinct sites (fractional):
Ba 0.0000 0.0000 0.0000 (multiplicity 1)  8 In 3.84, 4 Pb 3.84
Ti 0.5000 0.5000 0.5000 (multiplicity 1)  2 Pb 2.71, 4 In 2.72
In 0.0000 0.5000 0.5000 (multiplicity 2)  2 Ti 2.72
Pb 0.5000 0.5000 0.0000 (multiplicity 1)  2 Ti 2.71

As for the energy of formation: -0.18 eV/atom. For the density of states at the Fermi level, the calculation gives 3.61 states/eV/cell. The volume comes out at 160.1 Å³/cell.

=====

Entry 3:
Computed, not measured: Fe2TcHRu after structural relaxation at the PBE-GGA level of DFT.

Cell: 3.7058 3.7058 3.7349 Å, 90.00 90.00 90.00°
Last column: nearest neighbours and their distance in Å.
Space group P4/mmm (No. 123)
Symmetry-distinct sites (fractional):
Fe 0.0000 0.5000 0.0000 (multiplicity 2)  2 H 1.85
Tc 0.0000 0.0000 0.5000 (multiplicity 1)  4 Ru 2.62, 8 Fe 2.63
H 0.5000 0.5000 0.0000 (multiplicity 1)  4 Fe 1.85, 2 Ru 1.87
Ru 0.5000 0.5000 0.5000 (multiplicity 1)  2 H 1.87

For the total DFT energy (no corrections), the calculation gives -0.28964 hartree per atom. For the density of states at the Fermi level, the calculation gives 4.27 states/eV/cell. The volume comes out at 51.3 Å³/cell.

=====

Entry 4:
Computed, not measured: Pm4PrPu3Se8 after structural relaxation at the PBE-GGA level of DFT.

Cell: 8.3555 8.3555 20.5822 Å, 90.00 90.00 120.00°
Last column: nearest neighbours and their distance in Å.
Space group R-3m (No. 166, hexagonal axes)
Symmetry-distinct sites (fractional):
Pm 0.0000 0.0000 0.0000 (multiplicity 3)  6 Se 2.94
Pm 0.0000 0.5000 0.0000 (multiplicity 9)  6 Se 2.98
Pr 0.0000 0.0000 0.5000 (multiplicity 3)  6 Se 2.98
Pu 0.0000 0.5000 0.5000 (multiplicity 9)  6 Se 2.94
Se 0.0000 0.0000 0.2483 (multiplicity 6)  3 Pu 2.94, 3 Pm 2.98
Se 0.0046 0.5023 0.7505 (multiplicity 18)  3 Pm 2.94-2.98, 2 Pu 2.94, 1 Pr 2.98

For the density of states at the Fermi level, the calculation gives 87.26 states/eV/cell. The volume comes out at 1244.4 Å³/cell. The value obtained for the formation energy without anion corrections is -1740 meV/atom.

=====

Entry 5:
Computed, not measured: KSbPt2 after structural relaxation at the PBE-GGA level of DFT.

Cell: 3.2084 3.5316 8.1042 Å, 90.00 90.00 90.00°
Last column: nearest neighbours and their distance in Å.
Space group Pmmm (No. 47)
Symmetry-distinct sites (fractional):
K 0.0000 0.0000 0.0000 (multiplicity 1)  4 K 3.21-3.53, 8 Pt 3.48
Sb 0.0000 0.0000 0.5000 (multiplicity 1)  8 Pt 2.82
Pt 0.5000 0.5000 0.3134 (multiplicity 2)  4 Sb 2.82, 1 Pt 3.03

For the density of states at the Fermi level, the calculation gives 1.74 states/eV/cell. The volume comes out at 91.8 Å³/cell. The value obtained for the formation energy without anion corrections is -52 meV/atom.